Entry 1:
Entry from the Alexandria database: a relaxed TlCrTe2O8 crystal (PBE with a Hubbard U).

DOS at the Fermi energy: 0.2281 states/eV/atom
Total energy: -5.4197 eV/atom

Unit cell a=6.155 b=6.155 c=6.155 alpha=108.16 beta=108.16 gamma=112.13
Fractional positions:
1 Tl 0.000 0.000 0.000
2 Cr 0.250 0.750 0.500
3 Te 0.500 0.500 0.000
4 Te 0.750 0.250 0.500
5 O 0.319 0.123 0.804
6 O 0.319 0.515 0.196
7 O 0.374 0.063 0.311
8 O 0.485 0.681 0.804
9 O 0.752 0.063 0.689
10 O 0.877 0.681 0.196
11 O 0.937 0.248 0.311
12 O 0.937 0.626 0.689

=====

Entry 2:
Entry from the Alexandria database: a relaxed TlCrTeO6 crystal (PBE with a Hubbard U).

DOS at the Fermi energy: 0.1763 states/eV/atom
Total energy: -5.9459 eV/atom

Unit cell a=5.233 b=5.233 c=4.791 alpha=90.00 beta=90.00 gamma=120.00
Fractional positions:
1 Tl 0.000 0.000 0.000
2 Cr 0.333 0.667 0.500
3 Te 0.667 0.333 0.500
4 O 0.369 0.007 0.724
5 O 0.369 0.362 0.276
6 O 0.638 0.007 0.276
7 O 0.638 0.631 0.724
8 O 0.993 0.362 0.724
9 O 0.993 0.631 0.276

=====

Entry 3:
Entry from the Alexandria database: a relaxed TmCr2TeO8 crystal (PBE with a Hubbard U).

DOS at the Fermi energy: 0.3173 states/eV/atom
Total energy: -7.0301 eV/atom

Unit cell a=4.692 b=4.692 c=6.389 alpha=90.00 beta=90.00 gamma=90.66
Fractional positions:
1 Tm 0.000 0.000 0.000
2 Cr 0.500 0.500 0.249
3 Cr 0.500 0.500 0.751
4 Te 0.000 0.000 0.500
5 O 0.198 0.198 0.275
6 O 0.198 0.198 0.725
7 O 0.299 0.701 0.500
8 O 0.325 0.675 0.000
9 O 0.675 0.325 0.000
10 O 0.701 0.299 0.500
11 O 0.802 0.802 0.275
12 O 0.802 0.802 0.725

=====

Entry 4:
Entry from the Alexandria database: a relaxed TmCrTe2O8 crystal (PBE with a Hubbard U).

DOS at the Fermi energy: 0.2754 states/eV/atom
Total energy: -6.2735 eV/atom

Unit cell a=6.064 b=6.064 c=5.987 alpha=90.00 beta=90.00 gamma=120.00
Fractional positions:
1 Tm 0.000 0.000 0.000
2 Cr 0.000 0.000 0.500
3 Te 0.333 0.667 0.331
4 Te 0.667 0.333 0.669
5 O 0.146 0.293 0.269
6 O 0.146 0.854 0.269
7 O 0.293 0.146 0.731
8 O 0.333 0.667 0.633
9 O 0.667 0.333 0.367
10 O 0.707 0.854 0.269
11 O 0.854 0.146 0.731
12 O 0.854 0.707 0.731